Arrangement P

The following is a meta-GGA SCAN calculation of a PBEsol-optimized structure of BeMo, from the Alexandria database.

Lattice parameters (Å, degrees): 4.7031 4.7031 4.3617 106.10 106.10 30.89
Fractional positions:
Be 0.1550 0.1550 0.3501
Be 0.8450 0.8450 0.6499
Mo 0.4014 0.4014 0.1830
Mo 0.5986 0.5986 0.8170

The calculation puts the magnetic moment at 0.0 μB/f.u. Its space group is C2/m, No. 12. For the volume, the calculation gives 47 Å³/cell.


Arrangement Q

The following is a meta-GGA SCAN calculation of a PBEsol-optimized structure of BeMo, from the Alexandria database.

Lattice parameters (Å, degrees): 8.4819 8.4819 8.4819 18.10 18.10 18.10
Fractional positions:
Be 0.1313 0.1313 0.1313
Be 0.8687 0.8687 0.8687
Mo 0.3818 0.3818 0.3818
Mo 0.6182 0.6182 0.6182

The calculation puts the magnetic moment at 0.0 μB/f.u. Its space group is R-3m, No. 166. For the volume, the calculation gives 51 Å³/cell.


Of them, the most stable is arrangement P and the least stable is arrangement Q.


Arrangement P

The following is a meta-GGA SCAN calculation of a PBEsol-optimized structure of BeMo, from the Alexandria database.

Lattice parameters (Å, degrees): 4.6817 4.6817 4.6817 136.39 136.39 63.37
Fractional positions:
Be 0.3750 0.6250 0.7500
Be 0.6250 0.3750 0.2500
Mo 0.1250 0.8750 0.2500
Mo 0.8750 0.1250 0.7500

The calculation puts the magnetic moment at 0.0 μB/f.u. Its space group is I4_1/amd, No. 141. For the volume, the calculation gives 48 Å³/cell.


Arrangement Q

The following is a meta-GGA SCAN calculation of a PBEsol-optimized structure of BeMo, from the Alexandria database.

Lattice parameters (Å, degrees): 4.6804 4.6804 3.2512 90.00 90.00 140.36
Fractional positions:
Be 0.0681 0.9319 0.7500
Be 0.9319 0.0681 0.2500
Mo 0.3441 0.6559 0.7500
Mo 0.6559 0.3441 0.2500

The calculation puts the magnetic moment at 0.0 μB/f.u. Its space group is Cmcm, No. 63. For the volume, the calculation gives 45 Å³/cell.


Of them, the most stable is arrangement Q and the least stable is arrangement P.


Arrangement P

The following is a meta-GGA SCAN calculation of a PBEsol-optimized structure of Be2Mo, from the Alexandria database.

Lattice parameters (Å, degrees): 4.6227 4.6227 6.2456 110.30 110.30 31.10
Fractional positions:
Be 0.0393 0.0393 0.2283
Be 0.3458 0.3458 0.9748
Be 0.6542 0.6542 0.0252
Be 0.9607 0.9607 0.7717
Mo 0.3428 0.3428 0.3805
Mo 0.6572 0.6572 0.6195

The calculation puts the magnetic moment at 0.0 μB/f.u. Its space group is C2/m, No. 12. For the volume, the calculation gives 64 Å³/cell.


Arrangement Q

The following is a meta-GGA SCAN calculation of a PBEsol-optimized structure of Be2Mo, from the Alexandria database.

Lattice parameters (Å, degrees): 4.4124 4.4124 7.2582 90.00 90.00 120.00
Fractional positions:
Be 0.0000 0.0000 0.0000
Be 0.0000 0.0000 0.5000
Be 0.1697 0.3394 0.2500
Be 0.1697 0.8303 0.2500
Be 0.3394 0.1697 0.7500
Be 0.6606 0.8303 0.2500
Be 0.8303 0.1697 0.7500
Be 0.8303 0.6606 0.7500
Mo 0.3333 0.6667 0.5626
Mo 0.3333 0.6667 0.9374
Mo 0.6667 0.3333 0.0626
Mo 0.6667 0.3333 0.4374

The calculation puts the magnetic moment at 0.0 μB/f.u. Its space group is P6_3/mmc, No. 194. For the volume, the calculation gives 122 Å³/cell.


Of them, the most stable is arrangement Q and the least stable is arrangement P.


Arrangement P

The following is a meta-GGA SCAN calculation of a PBEsol-optimized structure of BeMoP, from the Alexandria database.

Lattice parameters (Å, degrees): 3.7463 3.7463 3.7463 60.00 60.00 60.00
Fractional positions:
Be 0.0000 0.0000 0.0000
Mo 0.2500 0.2500 0.2500
P 0.7500 0.7500 0.7500

The calculation puts the magnetic moment at 1.3 μB/f.u. Its space group is F-43m, No. 216. For the volume, the calculation gives 37 Å³/cell.


Arrangement Q

The following is a meta-GGA SCAN calculation of a PBEsol-optimized structure of BeMoP, from the Alexandria database.

Lattice parameters (Å, degrees): 3.9109 3.9109 3.9109 60.00 60.00 60.00
Fractional positions:
Be 0.0000 0.0000 0.0000
Mo 0.7500 0.7500 0.7500
P 0.5000 0.5000 0.5000

The calculation puts the magnetic moment at 0.5 μB/f.u. Its space group is F-43m, No. 216. For the volume, the calculation gives 42 Å³/cell.


Of them, the most stable is arrangement Q and the least stable is arrangement P.